Entry from Alexandria via LeMat-Bulk: a relaxed MoAs2Pd crystal (GGA-PBE).

Summary:
DFT total energy = -24.1 eV for the cell shown
total magnetization = 0.0 μB per formula unit
space-group type = R-3m (166)

a = 2.963 Å, b = 2.963 Å, c = 9.245 Å
α = 80.78°, β = 80.78°, γ = 60.00°
Atoms (fractional coordinates):
Mo1 0.000 0.000 0.000
As1 0.092 0.092 0.723
As2 0.908 0.908 0.277
Pd1 0.500 0.500 0.500